[1]
The following is a DFT calculation (PBEsol) of an optimized crystal structure of CaBi2O4.

abc: 3.4978 7.0851 10.2247
angles: 78.43 80.15 75.71
Last column: nearest neighbours and their distance in Å.
Positions (direct):
Ca1 0.2502 0.2497 0.2499  6 O 2.31-2.39
Ca2 0.7498 0.7503 0.7501  6 O 2.31-2.39
Bi1 0.6150 0.6717 0.0983  3 O 2.19-2.24
Bi2 0.1150 0.1721 0.5980  3 O 2.19-2.24
Bi3 0.8850 0.8279 0.4020  3 O 2.19-2.24
Bi4 0.3850 0.3283 0.9017  3 O 2.19-2.24
O1 0.9121 0.4101 0.7656  2 Bi 2.24, 1 Ca 2.31
O2 0.4123 0.9095 0.2659  2 Bi 2.24, 1 Ca 2.31
O3 0.5877 0.0905 0.7341  2 Bi 2.24, 1 Ca 2.31
O4 0.0879 0.5899 0.2344  2 Bi 2.24, 1 Ca 2.31
O5 0.2239 0.6453 0.9070  1 Bi 2.19, 2 Ca 2.39
O6 0.7241 0.1449 0.4070  1 Bi 2.19, 2 Ca 2.39
O7 0.7761 0.3547 0.0930  1 Bi 2.19, 2 Ca 2.39
O8 0.2759 0.8551 0.5930  1 Bi 2.19, 2 Ca 2.39

Fermi-level density of states ... 0.0 states/eV/f.u.
Space group ... No. 12
Density ... 7.27 g/cm³
Formation energy without anion corrections ... -1756 meV per atom
Size of the total moment ... 0.0 μB per formula unit

=====

[2]
The following is a DFT calculation (PBEsol) of an optimized crystal structure of CaBi2O5.

abc: 8.6110 8.6110 11.2082
angles: 90.12 90.12 83.42
Last column: nearest neighbours and their distance in Å.
Positions (direct):
Ca1 0.3040 0.0272 0.5706  5 O 2.29-2.43
Ca2 0.0272 0.3040 0.0706  5 O 2.29-2.43
Ca3 0.6779 0.3221 0.2500  6 O 2.24-2.39
Ca4 0.3221 0.6779 0.7500  6 O 2.24-2.39
Ca5 0.9728 0.6960 0.9294  5 O 2.29-2.43
Ca6 0.6960 0.9728 0.4294  5 O 2.29-2.43
Bi1 0.2993 0.0252 0.9307  5 O 2.22-2.44
Bi2 0.6497 0.0139 0.7484  6 O 2.09-2.28
Bi3 0.0252 0.2993 0.4307  5 O 2.22-2.44
Bi4 0.6383 0.3548 0.5578  5 O 2.17-2.27
Bi5 0.6452 0.3617 0.9422  5 O 2.17-2.27
Bi6 0.9861 0.3503 0.7516  6 O 2.09-2.28
Bi7 0.0139 0.6497 0.2484  6 O 2.09-2.28
Bi8 0.3548 0.6383 0.0578  5 O 2.17-2.27
Bi9 0.3617 0.6452 0.4422  5 O 2.17-2.27
Bi10 0.9748 0.7007 0.5693  5 O 2.22-2.44
Bi11 0.3503 0.9861 0.2516  6 O 2.09-2.28
Bi12 0.7007 0.9748 0.0693  5 O 2.22-2.44
O1 0.5409 0.1359 0.9115  3 Bi 2.26-2.40
O2 0.5395 0.1337 0.5907  2 Bi 2.20-2.21, 1 Ca 2.33
O3 0.2203 0.1075 0.1152  2 Bi 2.10-2.27, 1 Ca 2.29
O4 0.5684 0.0794 0.2491  1 Bi 2.13
O5 0.1075 0.2203 0.6152  2 Bi 2.10-2.27, 1 Ca 2.29
O6 0.7940 0.2085 0.4272  2 Bi 2.22-2.27, 2 Ca 2.29-2.38
O7 0.2134 0.1126 0.3805  2 Bi 2.09-2.22
O8 0.7540 0.2460 0.7500  4 Bi 2.28-2.51
O9 0.7915 0.2060 0.0728  2 Bi 2.22-2.27, 2 Ca 2.29-2.38
O10 0.1126 0.2134 0.8805  2 Bi 2.09-2.22
O11 0.9206 0.4316 0.2509  1 Bi 2.13
O12 0.5345 0.4508 0.3931  2 Bi 2.17-2.18, 1 Ca 2.24
O13 0.8641 0.4591 0.5885  3 Bi 2.26-2.40
O14 0.1337 0.5395 0.0907  2 Bi 2.20-2.21, 1 Ca 2.33
O15 0.5492 0.4655 0.1069  2 Bi 2.17-2.18, 1 Ca 2.24
O16 0.4508 0.5345 0.8931  2 Bi 2.17-2.18, 1 Ca 2.24
O17 0.8663 0.4605 0.9093  2 Bi 2.20-2.21, 1 Ca 2.33
O18 0.1359 0.5409 0.4115  3 Bi 2.26-2.40
O19 0.4655 0.5492 0.6069  2 Bi 2.17-2.18, 1 Ca 2.24
O20 0.0794 0.5684 0.7491  1 Bi 2.13
O21 0.8874 0.7866 0.1195  2 Bi 2.09-2.22
O22 0.2085 0.7940 0.9272  2 Bi 2.22-2.27, 2 Ca 2.29-2.38
O23 0.2460 0.7540 0.2500  4 Bi 2.28-2.51
O24 0.7866 0.8874 0.6195  2 Bi 2.09-2.22
O25 0.2060 0.7915 0.5728  2 Bi 2.22-2.27, 2 Ca 2.29-2.38
O26 0.8925 0.7797 0.3848  2 Bi 2.10-2.27, 1 Ca 2.29
O27 0.4316 0.9206 0.7509  1 Bi 2.13
O28 0.7797 0.8925 0.8848  2 Bi 2.10-2.27, 1 Ca 2.29
O29 0.4605 0.8663 0.4093  2 Bi 2.20-2.21, 1 Ca 2.33
O30 0.4591 0.8641 0.0885  3 Bi 2.26-2.40

Fermi-level density of states ... 1.5 states/eV/f.u.
Space group ... No. 15
Density ... 6.49 g/cm³
Formation energy without anion corrections ... -1514 meV per atom
Size of the total moment ... 0.0 μB per formula unit

=====

[3]
The following is a DFT calculation (PBEsol) of an optimized crystal structure of CaBi2O5.

abc: 5.8709 8.9966 11.7260
angles: 90.00 90.00 108.65
Last column: nearest neighbours and their distance in Å.
Positions (direct):
Ca1 0.5340 0.1624 0.0949  5 O 2.27-2.43
Ca2 0.4660 0.8376 0.9051  5 O 2.27-2.43
Ca3 0.4660 0.3376 0.5949  5 O 2.27-2.43
Ca4 0.5340 0.6624 0.4051  5 O 2.27-2.43
Bi1 0.1163 0.9424 0.3806  4 O 2.03-2.09
Bi2 0.8837 0.0576 0.6194  4 O 2.03-2.09
Bi3 0.8837 0.5576 0.8806  4 O 2.03-2.09
Bi4 0.1163 0.4424 0.1194  4 O 2.03-2.09
Bi5 0.0410 0.1446 0.9011  5 O 2.22-2.41
Bi6 0.9590 0.8554 0.0989  5 O 2.22-2.41
Bi7 0.0410 0.6446 0.5989  5 O 2.22-2.41
Bi8 0.9590 0.3554 0.4011  5 O 2.22-2.41
O1 0.8544 0.3491 0.9673  2 Bi 2.09-2.33
O2 0.2946 0.3102 0.0426  1 Bi 2.03
O3 0.1911 0.6662 0.7918  1 Bi 2.04, 1 Ca 2.27
O4 0.7668 0.5112 0.4707  2 Bi 2.22-2.25, 2 Ca 2.35-2.43
O5 0.7308 0.4907 0.7221  1 Bi 2.07, 1 Ca 2.27
O6 0.7308 0.9907 0.7779  1 Bi 2.07, 1 Ca 2.27
O7 0.2946 0.8102 0.4574  1 Bi 2.03
O8 0.7054 0.1898 0.5426  1 Bi 2.03
O9 0.2332 0.4888 0.5293  2 Bi 2.22-2.25, 2 Ca 2.35-2.43
O10 0.1456 0.1509 0.4673  2 Bi 2.09-2.33
O11 0.2692 0.5093 0.2779  1 Bi 2.07, 1 Ca 2.27
O12 0.1456 0.6509 0.0327  2 Bi 2.09-2.33
O13 0.8544 0.8491 0.5327  2 Bi 2.09-2.33
O14 0.2692 0.0093 0.2221  1 Bi 2.07, 1 Ca 2.27
O15 0.2332 0.9888 0.9707  2 Bi 2.22-2.25, 2 Ca 2.35-2.43
O16 0.7668 0.0112 0.0293  2 Bi 2.22-2.25, 2 Ca 2.35-2.43
O17 0.8089 0.3338 0.2082  1 Bi 2.04, 1 Ca 2.27
O18 0.7054 0.6898 0.9574  1 Bi 2.03
O19 0.8089 0.8338 0.2918  1 Bi 2.04, 1 Ca 2.27
O20 0.1911 0.1662 0.7082  1 Bi 2.04, 1 Ca 2.27

Space group ... No. 14
Density ... 6.09 g/cm³
Formation energy without anion corrections ... -1466 meV per atom
Size of the total moment ... 0.0 μB per formula unit

=====

[4]
The following is a DFT calculation (PBEsol) of an optimized crystal structure of Ca4Bi6O13.

abc: 5.9219 7.1757 9.1389
angles: 90.00 108.91 90.00
Last column: nearest neighbours and their distance in Å.
Positions (direct):
Ca1 0.3524 0.7475 0.5702  7 O 2.37-2.50
Ca2 0.7833 0.2525 0.4322  7 O 2.37-2.50
Ca3 0.3524 0.2525 0.5702  7 O 2.37-2.50
Ca4 0.7833 0.7475 0.4322  7 O 2.37-2.50
Bi1 0.1196 0.0000 0.2237  3 O 2.09-2.28
Bi2 0.8973 0.0000 0.7787  3 O 2.09-2.28
Bi3 0.9021 0.5000 0.7821  3 O 2.12-2.27
Bi4 0.1212 0.5000 0.2204  3 O 2.12-2.27
Bi5 0.4876 0.7721 0.0011  3 O 2.08-2.10
Bi6 0.4876 0.2279 0.0011  3 O 2.08-2.10
O1 0.6354 0.5000 0.5616  1 Bi 2.12
O2 0.0750 0.5000 0.4408  1 Bi 2.12
O3 0.0783 0.0000 0.4423  1 Bi 2.09
O4 0.6373 0.0000 0.5601  1 Bi 2.09
O5 0.0656 0.7489 0.7004  2 Bi 2.27-2.28, 2 Ca 2.37-2.48
O6 0.3663 0.2511 0.3021  2 Bi 2.27-2.28, 2 Ca 2.37-2.48
O7 0.0656 0.2511 0.7004  2 Bi 2.27-2.28, 2 Ca 2.37-2.48
O8 0.3663 0.7489 0.3021  2 Bi 2.27-2.28, 2 Ca 2.37-2.48
O9 0.6372 0.7580 0.8217  1 Bi 2.10
O10 0.8166 0.2419 0.1807  1 Bi 2.10
O11 0.6372 0.2420 0.8217  1 Bi 2.10
O12 0.8166 0.7581 0.1807  1 Bi 2.10
O13 0.3655 0.5000 0.0016  2 Bi 2.08

Fermi-level density of states ... 0.0 states/eV/f.u.
Space group ... No. 38
Density ... 7.33 g/cm³
Formation energy without anion corrections ... -1868 meV per atom
Size of the total moment ... 0.0 μB per formula unit

=====

[5]
The following is a DFT calculation (PBEsol) of an optimized crystal structure of CaBi2P2O9.

abc: 7.0664 7.0009 15.9153
angles: 90.00 90.00 90.00
Last column: nearest neighbours and their distance in Å.
Positions (direct):
Ca1 0.7500 0.9269 0.7799  7 O 2.29-2.56
Ca2 0.7500 0.5731 0.2799  7 O 2.29-2.56
Ca3 0.2500 0.4269 0.7201  7 O 2.29-2.56
Ca4 0.2500 0.0731 0.2201  7 O 2.29-2.56
Bi1 0.7500 0.4089 0.8844  5 O 2.17-2.35
Bi2 0.2500 0.5911 0.1156  5 O 2.17-2.35
Bi3 0.2500 0.9089 0.6156  5 O 2.17-2.35
Bi4 0.7500 0.0911 0.3844  5 O 2.17-2.35
Bi5 0.5000 0.0000 0.0000  6 O 2.32-2.44
Bi6 0.5000 0.5000 0.5000  6 O 2.32-2.44
Bi7 0.0000 0.5000 0.5000  6 O 2.32-2.44
Bi8 0.0000 0.0000 0.0000  6 O 2.32-2.44
P1 0.2500 0.4109 0.9168  4 O 1.53-1.60
P2 0.7500 0.5891 0.0832  4 O 1.53-1.60
P3 0.7500 0.9109 0.5832  4 O 1.53-1.60
P4 0.2500 0.0891 0.4168  4 O 1.53-1.60
P5 0.7500 0.4232 0.6946  4 O 1.55-1.57
P6 0.7500 0.0768 0.1946  4 O 1.55-1.57
P7 0.2500 0.9232 0.8054  4 O 1.55-1.57
P8 0.2500 0.5768 0.3054  4 O 1.55-1.57
O1 0.0664 0.5861 0.3586  1 P 1.55
O2 0.5664 0.4139 0.6414  1 P 1.55
O3 0.9336 0.0861 0.1414  1 P 1.55
O4 0.4336 0.9139 0.8586  1 P 1.55
O5 0.9336 0.4139 0.6414  1 P 1.55
O6 0.4336 0.5861 0.3586  1 P 1.55
O7 0.0664 0.9139 0.8586  1 P 1.55
O8 0.5664 0.0861 0.1414  1 P 1.55
O9 0.2500 0.2624 0.4819  1 P 1.60
O10 0.7500 0.7376 0.5181  1 P 1.60
O11 0.7500 0.7624 0.0181  1 P 1.60
O12 0.2500 0.2376 0.9819  1 P 1.60
O13 0.7500 0.1081 0.9185  3 Bi 2.17-2.32
O14 0.2500 0.8919 0.0815  3 Bi 2.17-2.32
O15 0.2500 0.6081 0.5815  3 Bi 2.17-2.32
O16 0.7500 0.3919 0.4185  3 Bi 2.17-2.32
O17 0.7500 0.2502 0.7570  1 P 1.57
O18 0.2500 0.7498 0.2430  1 P 1.57
O19 0.2500 0.7502 0.7430  1 P 1.57
O20 0.7500 0.2498 0.2570  1 P 1.57
O21 0.4236 0.1046 0.3583  1 P 1.54
O22 0.9236 0.8954 0.6417  1 P 1.54
O23 0.5764 0.6046 0.1417  1 P 1.54
O24 0.0764 0.3954 0.8583  1 P 1.54
O25 0.5764 0.8954 0.6417  1 P 1.54
O26 0.0764 0.1046 0.3583  1 P 1.54
O27 0.4236 0.3954 0.8583  1 P 1.54
O28 0.9236 0.6046 0.1417  1 P 1.54
O29 0.7500 0.4037 0.0321  1 P 1.53
O30 0.2500 0.1014 0.7480  1 P 1.55
O31 0.2500 0.3986 0.2480  1 P 1.55
O32 0.7500 0.6014 0.7520  1 P 1.55
O33 0.7500 0.0963 0.5321  1 P 1.53
O34 0.2500 0.9037 0.4679  1 P 1.53
O35 0.2500 0.5963 0.9679  1 P 1.53
O36 0.7500 0.8986 0.2520  1 P 1.55

Fermi-level density of states ... 0.0 states/eV/f.u.
Space group ... No. 62
Density ... 5.60 g/cm³
Formation energy without anion corrections ... -2137 meV per atom
Size of the total moment ... 0.0 μB per formula unit